TmAl3N | the Open Quantum Materials Database | PBE | relaxed; DFT total energy = -4.76 eV per atom
1.0
4.3159 0.0000 0.0000
0.0000 4.3159 0.0000
0.0000 0.0000 4.3159
Al Tm N
3 1 1
direct
0.5000 0.0000 0.5000 Al
0.5000 0.5000 0.0000 Al
0.0000 0.5000 0.5000 Al
0.0000 0.0000 0.0000 Tm
0.5000 0.5000 0.5000 N

=====

SmCdB5O10 | the Open Quantum Materials Database | PBE | relaxed; DFT total energy = -7.69 eV per atom
1.0
8.5313 0.0000 -0.0191
0.0000 7.8812 0.0000
-0.4100 0.0000 9.5698
O B Cd Sm
40 20 4 4
direct
0.4928 0.0838 0.7966 O
0.0456 0.2674 0.0265 O
0.4544 0.7674 0.4735 O
0.9544 0.7326 0.9735 O
0.4936 0.6669 0.0816 O
0.5456 0.2326 0.5265 O
0.2502 0.9367 0.3752 O
0.8283 0.5308 0.1157 O
0.2498 0.4367 0.1248 O
0.8209 0.3811 0.4874 O
0.4228 0.5310 0.6366 O
0.1791 0.6189 0.5126 O
0.1717 0.4692 0.8843 O
0.1904 0.3621 0.6504 O
0.0357 0.7046 0.2185 O
0.0772 0.0310 0.8634 O
0.5064 0.3331 0.9184 O
0.6815 0.6159 0.5747 O
0.4643 0.2046 0.2815 O
0.1815 0.8841 0.0747 O
0.0064 0.1669 0.4184 O
0.3185 0.3841 0.4253 O
0.6791 0.8811 0.0126 O
0.9643 0.2954 0.7815 O
0.5072 0.9162 0.2034 O
0.6904 0.1379 0.1504 O
0.9928 0.4162 0.2966 O
0.3209 0.1189 0.9874 O
0.9228 0.9690 0.1366 O
0.6717 0.0308 0.3843 O
0.5357 0.7954 0.7185 O
0.3283 0.9692 0.6157 O
0.8096 0.6379 0.3496 O
0.8185 0.1159 0.9253 O
0.3096 0.8621 0.8496 O
0.7502 0.5633 0.8752 O
0.7498 0.0633 0.6248 O
0.9936 0.8331 0.5816 O
0.0072 0.5838 0.7034 O
0.5772 0.4690 0.3634 O
0.8429 0.6053 0.9883 B
0.4174 0.9274 0.7471 B
0.7219 0.5308 0.4421 B
0.0641 0.6771 0.5954 B
0.4359 0.1771 0.9046 B
0.5211 0.6769 0.5956 B
0.9789 0.1769 0.9044 B
0.5641 0.8229 0.0954 B
0.0826 0.4274 0.7529 B
0.6571 0.1053 0.5117 B
0.7781 0.0308 0.0579 B
0.9359 0.3229 0.4046 B
0.4789 0.3231 0.4044 B
0.3429 0.8947 0.4883 B
0.2219 0.9692 0.9421 B
0.0211 0.8231 0.0956 B
0.9174 0.5726 0.2471 B
0.1571 0.3947 0.0117 B
0.2781 0.4692 0.5579 B
0.5826 0.0726 0.2529 B
0.4013 0.5963 0.8701 Cd
0.5987 0.4037 0.1299 Cd
0.0987 0.0963 0.6299 Cd
0.9013 0.9037 0.3701 Cd
0.6878 0.3242 0.7362 Sm
0.1878 0.1758 0.2362 Sm
0.3122 0.6758 0.2638 Sm
0.8122 0.8242 0.7638 Sm